Entry 1:
# La4NdMg2 (PBE-GGA, relaxed)
# magnetization	0.000	μB/atom
# ΔE_f	-0.014	eV per atom
data_La4NdMg2
_cell_length_a 5.7007
_cell_length_b 5.7007
_cell_length_c 25.2854
_cell_angle_alpha 90.00
_cell_angle_beta 90.00
_cell_angle_gamma 120.00
_space_group_name_H-M_alt 'R -3 m'
_space_group_IT_number 166
_space_group_name_Hall '-R 3 2"'
loop_
_atom_site_label
_atom_site_type_symbol
_atom_site_fract_x
_atom_site_fract_y
_atom_site_fract_z
La1 La 0.0000 0.0000 0.0746
La2 La 0.0000 0.0000 0.3430
Nd1 Nd 0.0000 0.0000 0.5000
Mg1 Mg 0.0000 0.0000 0.2095

Entry 2:
# La2Nd2Mg (PBE-GGA, relaxed)
# magnetization	0.000	μB/atom
# ΔE_f	-0.028	eV per atom
# E above lowest polymorph	0.0	meV/atom
data_La2Nd2Mg
_cell_length_a 3.772
_cell_length_b 3.772
_cell_length_c 23.764
_cell_angle_alpha 90.00
_cell_angle_beta 90.00
_cell_angle_gamma 90.00
_space_group_name_H-M_alt 'I 4/m m m'
_space_group_IT_number 139
_space_group_name_Hall '-I 4 2'
loop_
_atom_site_label
_atom_site_type_symbol
_atom_site_fract_x
_atom_site_fract_y
_atom_site_fract_z
La1 La 0.000 0.000 0.194
Nd1 Nd 0.000 0.000 0.413
Mg1 Mg 0.000 0.000 0.000

Number 1: ρ 5.239 g cm⁻³. Number 2: ρ 5.800 g cm⁻³.